! TcAu2 (PBE-GGA, optimized geometry); values from VASP
&SYSTEM
  ibrav = 0, nat = 9, ntyp = 2
/
ATOMIC_SPECIES
Au 196.97 Au.upf
Tc 98.00 Tc.upf
ATOMIC_POSITIONS crystal
Au 0.000 0.635 0.500
Au 0.000 0.303 0.000
Tc 0.667 0.333 0.000
Tc 0.000 0.000 0.500
Au 0.365 0.365 0.500
Au 0.303 0.000 0.000
Au 0.697 0.697 0.000
Tc 0.333 0.667 0.000
Au 0.635 0.000 0.500
CELL_PARAMETERS angstrom
4.026 -6.973 0.000
4.026 6.973 0.000
0.000 0.000 2.743
! distance to the lowest polymorph of the same formula = 229 meV/atom
! size of the total moment = 1.44 μB/f.u.
! crystal system = hexagonal
! Fermi-level density of states = 8.6 states/eV/cell
! energy relative to the elements = 499 meV per atom